The following is a DFT calculation (PBE) of a geometry-optimized DyIrPt structure.

a b c (Å): 5.400 5.400 5.400
angles (deg): 89.61 120.34 120.12
Atoms (fractional coordinates):
Dy: 0.250 0.123 0.873
Dy: 0.750 0.877 0.127
Ir: 0.000 0.500 0.500
Ir: 0.500 0.000 0.500
Pt: 0.500 0.500 0.500
Pt: 0.000 0.500 0.000

Energy relative to the lowest polymorph listed for this composition in meV per atom: 0
ΔE_f in meV per atom: -932
Space-group type: Imma, No. 74
Energy in eV per atom: -7.4330